Record 1
Material: Sr3CoI
Method: DFT, GGA-PBE
State: optimized geometry

Cell lengths 5.8000, 5.8000, 5.8000 Å; angles 90.00, 90.00, 90.00 degrees
Last column: nearest neighbours and their distance in Å.
Space group Pm-3m (No. 221)
Symmetry-distinct sites (fractional):
Sr  0.0000  0.0000  0.5000  2 Co 2.90
Co  0.0000  0.0000  0.0000  6 Sr 2.90
I  0.5000  0.5000  0.5000  12 Sr 4.10

Properties
Total magnetization: 0.47 μB/f.u.
Energy: -2.851 eV/atom
Formation energy (no corrections): -0.55 eV per formula unit

***

Record 2
Material: RbTlZn2
Method: DFT, GGA-PBE
State: optimized geometry

Cell lengths 7.7371, 7.7371, 7.7371 Å; angles 90.00, 90.00, 90.00 degrees
Last column: nearest neighbours and their distance in Å.
Space group Fm-3m (No. 225)
Symmetry-distinct sites (fractional):
Rb  0.0000  0.0000  0.0000  8 Zn 3.35
Tl  0.0000  0.0000  0.5000  8 Zn 3.35
Zn  0.2500  0.2500  0.2500  4 Tl 3.35, 4 Rb 3.35

Properties
Energy of formation: 21.13 kJ per mole of atoms
Offset from the most stable computed form: 49 meV per atom
Total magnetization: 0.00 μB/f.u.
Energy: -1.251 eV/atom